1.
Density functional theory data (meta-GGA SCAN) for BAsO2 at its PBEsol-relaxed geometry.

a b c (Å): 4.6643 4.6643 6.9761
angles (deg): 90.00 90.00 90.00
Space group I-42d (No. 122)
Symmetry-distinct sites (fractional):
B 0.0000 0.0000 0.0000 x4
As 0.0000 0.0000 0.5000 x4
O 0.0431 0.7500 0.1250 x8

Results
* spin magnetization: 0.0 μB per formula unit
* electronic total energy: -0.821 Ry per atom
* formation energy (no corrections): -1.153 eV/atom


2.
Density functional theory data (meta-GGA SCAN) for BAsPbO5 at its PBEsol-relaxed geometry.

a b c (Å): 7.1638 7.1638 6.9146
angles (deg): 90.00 90.00 120.00
Space group P3_1 (No. 144)
Symmetry-distinct sites (fractional):
B 0.0152 0.9066 0.0000 x3
As 0.4095 0.0065 0.1912 x3
Pb 0.4001 0.0016 0.6899 x3
O 0.0135 0.0582 0.1370 x3
O 0.1354 0.6063 0.6786 x3
O 0.1549 0.3395 0.3793 x3
O 0.3169 0.1332 0.3507 x3
O 0.5757 0.4086 0.6921 x3

Results
* spin magnetization: 0.0 μB per formula unit
* electronic total energy: -1.367 Ry per atom
* formation energy (no corrections): -1.775 eV/atom


3.
Density functional theory data (meta-GGA SCAN) for TaBAs2O at its PBEsol-relaxed geometry.

a b c (Å): 5.1253 5.1253 2.6761
angles (deg): 90.00 90.00 90.00
Space group P4/mmm (No. 123)
Symmetry-distinct sites (fractional):
Ta 0.0000 0.0000 0.0000 x1
B 0.5000 0.5000 0.0000 x1
As 0.0000 0.5000 0.5000 x2
O 0.5000 0.5000 0.5000 x1

Results
* spin magnetization: 0.0 μB per formula unit
* electronic total energy: -1.753 Ry per atom
* formation energy (no corrections): 0.277 eV/atom


4.
Density functional theory data (meta-GGA SCAN) for B3AsOs at its PBEsol-relaxed geometry.

a b c (Å): 3.9438 3.9438 3.9438
angles (deg): 90.00 90.00 90.00
Space group Pm-3m (No. 221)
Symmetry-distinct sites (fractional):
B 0.0000 0.0000 0.5000 x3
As 0.0000 0.0000 0.0000 x1
Os 0.5000 0.5000 0.5000 x1

Results
* spin magnetization: 0.0 μB per formula unit
* electronic total energy: -1.500 Ry per atom
* ΔH_f (0 K): 2.468 eV per atom


5.
Density functional theory data (meta-GGA SCAN) for BAs2Os at its PBEsol-relaxed geometry.

a b c (Å): 5.2921 5.2921 9.4874
angles (deg): 90.00 90.00 90.00
Space group I-42d (No. 122)
Symmetry-distinct sites (fractional):
B 0.0000 0.0000 0.0000 x4
As 0.2014 0.2500 0.1250 x8
Os 0.0000 0.0000 0.5000 x4

Results
* spin magnetization: 0.0 μB per formula unit
* electronic total energy: -2.172 Ry per atom
* ΔH_f (0 K): 0.368 eV per atom


6.
Density functional theory data (meta-GGA SCAN) for B2AsP at its PBEsol-relaxed geometry.

a b c (Å): 4.6489 4.6489 9.2827
angles (deg): 90.00 90.00 90.00
Space group I-42d (No. 122)
Symmetry-distinct sites (fractional):
B 0.2305 0.2500 0.1250 x8
As 0.0000 0.0000 0.5000 x4
P 0.0000 0.0000 0.0000 x4

Results
* spin magnetization: 0.0 μB per formula unit
* electronic total energy: -0.859 Ry per atom
* ΔH_f (0 K): -0.322 eV per atom


7.
Density functional theory data (meta-GGA SCAN) for B2AsP at its PBEsol-relaxed geometry.

a b c (Å): 3.2853 3.2853 4.6523
angles (deg): 90.00 90.00 90.00
Space group P-4m2 (No. 115)
Symmetry-distinct sites (fractional):
B 0.0000 0.5000 0.2366 x2
As 0.5000 0.5000 0.5000 x1
P 0.0000 0.0000 0.0000 x1

Results
* spin magnetization: 0.0 μB per formula unit
* electronic total energy: -0.858 Ry per atom
* ΔH_f (0 K): -0.309 eV per atom


8.
Density functional theory data (meta-GGA SCAN) for BAs2Pb at its PBEsol-relaxed geometry.

a b c (Å): 6.2427 6.2427 8.3143
angles (deg): 90.00 90.00 90.00
Space group I-42d (No. 122)
Symmetry-distinct sites (fractional):
B 0.0000 0.0000 0.0000 x4
As 0.1461 0.7500 0.1250 x8
Pb 0.0000 0.0000 0.5000 x4

Results
* spin magnetization: 0.0 μB per formula unit
* electronic total energy: -2.253 Ry per atom
* ΔH_f (0 K): 0.241 eV per atom


9.
Density functional theory data (meta-GGA SCAN) for BAs2PbSe at its PBEsol-relaxed geometry.

a b c (Å): 5.3109 5.3109 5.3814
angles (deg): 90.00 90.00 90.00
Space group P4/mmm (No. 123)
Symmetry-distinct sites (fractional):
B 0.0000 0.0000 0.0000 x1
As 0.0000 0.5000 0.5000 x2
Pb 0.5000 0.5000 0.5000 x1
Se 0.5000 0.5000 0.0000 x1

Results
* spin magnetization: 1.9 μB per formula unit
* electronic total energy: -1.974 Ry per atom
* formation energy (no corrections): 1.881 eV/atom


10.
Density functional theory data (meta-GGA SCAN) for BAsPd3 at its PBEsol-relaxed geometry.

a b c (Å): 4.5611 4.5611 4.5611
angles (deg): 90.00 90.00 90.00
Space group Pm-3m (No. 221)
Symmetry-distinct sites (fractional):
B 0.0000 0.0000 0.0000 x1
As 0.5000 0.5000 0.5000 x1
Pd 0.0000 0.5000 0.5000 x3

Results
* spin magnetization: 0.0 μB per formula unit
* electronic total energy: -1.776 Ry per atom
* ΔH_f (0 K): 1.031 eV per atom


11.
Density functional theory data (meta-GGA SCAN) for BAsPt3 at its PBEsol-relaxed geometry.

a b c (Å): 4.1967 4.1967 4.1967
angles (deg): 90.00 90.00 90.00
Space group Pm-3m (No. 221)
Symmetry-distinct sites (fractional):
B 0.0000 0.0000 0.0000 x1
As 0.5000 0.5000 0.5000 x1
Pt 0.0000 0.0000 0.5000 x3

Results
* spin magnetization: 0.0 μB per formula unit
* electronic total energy: -3.496 Ry per atom
* ΔH_f (0 K): 0.078 eV per atom


12.
Density functional theory data (meta-GGA SCAN) for B3AsPt at its PBEsol-relaxed geometry.

a b c (Å): 4.1267 4.1267 4.1267
angles (deg): 90.00 90.00 90.00
Space group Pm-3m (No. 221)
Symmetry-distinct sites (fractional):
B 0.0000 0.0000 0.5000 x3
As 0.5000 0.5000 0.5000 x1
Pt 0.0000 0.0000 0.0000 x1

Results
* spin magnetization: 1.0 μB per formula unit
* electronic total energy: -1.566 Ry per atom
* ΔH_f (0 K): 1.221 eV per atom


- Which value of spin magnetization does entry 10 give?
  0.0 μB per formula unit